The following is a DFT calculation (PBE-GGA) of a relaxed Li2CdBr crystal.

Cell: 7.1318 7.1318 7.1318 Å, 148.92 148.92 44.54°
Last column: nearest neighbours and their distance in Å.
Atoms (fractional coordinates):
Br: 0.5000 0.5000 0.0000  4 Li 2.70
Cd: 0.7500 0.2500 0.5000  4 Li 2.70
Li: 0.0000 0.0000 0.0000  4 Br 2.70
Li: 0.2500 0.7500 0.5000  4 Cd 2.70

The calculation puts the raw formation energy at -0.5710 eV/atom. The uncorrected energy is -2.1750 eV per atom. Its spin magnetization is 0.00 μB/atom. The calculation puts the density of states at the Fermi level at 0.327 states/eV per atom. As for the symmetry: No. 119.


The following is a DFT calculation (PBE-GGA) of a relaxed Li2CdBr crystal.

Cell: 3.5132 3.5132 6.6615 Å, 90.00 90.00 90.00°
Last column: nearest neighbours and their distance in Å.
Atoms (fractional coordinates):
Br: 0.5000 0.5000 0.2500  8 Li 2.98, 2 Cd 3.33
Cd: 0.5000 0.5000 0.7500  8 Li 3.00, 2 Br 3.33
Li: 0.0000 0.0000 0.0017  4 Br 2.98, 4 Cd 3.00, 1 Li 3.31
Li: 0.0000 0.0000 0.4983  4 Br 2.98, 4 Cd 3.00, 1 Li 3.31

The calculation puts the raw formation energy at -0.6410 eV/atom. The uncorrected energy is -2.2449 eV per atom. Its spin magnetization is 0.00 μB/atom. The calculation puts the density of states at the Fermi level at 0.217 states/eV per atom. As for the symmetry: No. 123.


The following is a DFT calculation (PBE-GGA) of a relaxed LiCd2Br4 crystal.

Cell: 6.9237 6.9237 4.7442 Å, 90.00 90.00 90.00°
Last column: nearest neighbours and their distance in Å.
Atoms (fractional coordinates):
Li: 0.0000 0.0000 0.0000  4 Br 2.58
Cd: 0.5000 0.0000 0.5000  4 Br 2.79
Cd: 0.0000 0.5000 0.5000  4 Br 2.79
Br: 0.7594 0.2406 0.7796  1 Li 2.58, 2 Cd 2.79
Br: 0.2406 0.2406 0.2204  1 Li 2.58, 2 Cd 2.79
Br: 0.2406 0.7594 0.7796  1 Li 2.58, 2 Cd 2.79
Br: 0.7594 0.7594 0.2204  1 Li 2.58, 2 Cd 2.79

The calculation puts the raw formation energy at -0.8356 eV/atom. The uncorrected energy is -2.3264 eV per atom. Its spin magnetization is 0.00 μB/atom. The calculation puts the density of states at the Fermi level at 0.406 states/eV per atom. As for the symmetry: No. 111.


The following is a DFT calculation (PBE-GGA) of a relaxed LiCd3Br crystal.

Cell: 5.9872 5.9872 5.9872 Å, 90.00 90.00 90.00°
Last column: nearest neighbours and their distance in Å.
Atoms (fractional coordinates):
Li: 0.5000 0.5000 0.5000  12 Cd 4.23
Br: 0.0000 0.0000 0.0000  6 Cd 2.99
Cd: 0.0000 0.5000 0.0000  2 Br 2.99
Cd: 0.0000 0.0000 0.5000  2 Br 2.99
Cd: 0.5000 0.0000 0.0000  2 Br 2.99

The calculation puts the raw formation energy at 0.3580 eV/atom. The uncorrected energy is -0.9084 eV per atom. Its spin magnetization is 0.00 μB/atom. The calculation puts the density of states at the Fermi level at 1.138 states/eV per atom. As for the symmetry: No. 221. The calculation puts the energy relative to the lowest polymorph listed for this composition at 372 meV/atom.


The following is a DFT calculation (PBE-GGA) of a relaxed Li2CdBr crystal.

Cell: 3.4522 3.4522 8.4033 Å, 90.00 90.00 89.97°
Last column: nearest neighbours and their distance in Å.
Atoms (fractional coordinates):
Br: 0.0000 0.0000 0.3028  5 Li 2.54-2.60
Cd: 0.5000 0.5000 0.7878  5 Li 3.02-3.18
Li: 0.0000 0.0000 0.0005  1 Br 2.54
Li: 0.5000 0.5000 0.4090  4 Br 2.60

The calculation puts the raw formation energy at -0.6263 eV/atom. The uncorrected energy is -2.2302 eV per atom. Its spin magnetization is 0.00 μB/atom. The calculation puts the density of states at the Fermi level at 0.313 states/eV per atom. As for the symmetry: No. 99.


The following is a DFT calculation (PBE-GGA) of a relaxed LiCd2Br crystal.

Cell: 6.8607 4.0119 4.0119 Å, 90.00 90.00 90.00°
Last column: nearest neighbours and their distance in Å.
Atoms (fractional coordinates):
Br: 0.5000 0.0000 0.5000  4 Li 2.84
Cd: 0.0000 0.0000 0.0000  4 Cd 2.84
Cd: 0.0000 0.5000 0.5000  4 Cd 2.84
Li: 0.5000 0.5000 0.0000  4 Br 2.84

The calculation puts the raw formation energy at -0.4820 eV/atom. The uncorrected energy is -1.8362 eV per atom. Its spin magnetization is 0.00 μB/atom. The calculation puts the density of states at the Fermi level at 0.189 states/eV per atom. As for the symmetry: No. 123. The calculation puts the energy relative to the lowest polymorph listed for this composition at 26 meV/atom.


The following is a DFT calculation (PBE-GGA) of a relaxed Li2CdBr crystal.

Cell: 7.2784 7.2784 6.3470 Å, 55.01 55.01 90.00°
Last column: nearest neighbours and their distance in Å.
Atoms (fractional coordinates):
Li: 0.5776 0.1250 0.2500  2 Br 2.52
Li: 0.1724 0.6250 0.2500  2 Br 2.52
Li: 0.3750 0.4224 0.7500  2 Br 2.52
Li: 0.8750 0.8276 0.7500  2 Br 2.52
Br: 0.5000 0.5000 0.0000  4 Li 2.52
Br: 0.2500 0.7500 0.5000  4 Li 2.52
Cd: 0.0000 0.0000 0.0000  4 Li 2.98
Cd: 0.7500 0.2500 0.5000  4 Li 2.98

The calculation puts the raw formation energy at -0.5722 eV/atom. The uncorrected energy is -2.1761 eV per atom. Its spin magnetization is 0.00 μB/atom. The calculation puts the density of states at the Fermi level at 0.593 states/eV per atom. As for the symmetry: No. 122.


The following is a DFT calculation (PBE-GGA) of a relaxed Li2CdBr crystal.

Cell: 3.8449 6.3793 3.8534 Å, 90.00 90.00 90.00°
Last column: nearest neighbours and their distance in Å.
Atoms (fractional coordinates):
Br: 0.5000 0.0000 0.5000  4 Li 2.72
Cd: 0.0000 0.5000 0.5000  4 Li 2.72
Li: 0.0000 0.0000 0.0000  4 Br 2.72
Li: 0.5000 0.5000 0.0000  4 Cd 2.72

The calculation puts the raw formation energy at -0.5710 eV/atom. The uncorrected energy is -2.1749 eV per atom. Its spin magnetization is 0.00 μB/atom. The calculation puts the density of states at the Fermi level at 0.135 states/eV per atom. As for the symmetry: No. 47.


The following is a DFT calculation (PBE-GGA) of a relaxed Na3Li3CdBr8 crystal.

Cell: 8.0887 8.0934 8.2767 Å, 119.27 90.00 119.98°
Last column: nearest neighbours and their distance in Å.
Atoms (fractional coordinates):
Na: 0.0000 0.0000 0.0000  6 Br 2.98-2.99
Na: 0.0000 0.5000 0.0000  6 Br 2.98-2.99
Na: 0.5000 0.5000 0.0000  6 Br 2.98-2.99
Li: 0.5000 0.0000 0.5000  6 Br 2.80-2.82
Li: 0.5000 0.5000 0.5000  6 Br 2.80-2.81
Li: 0.0000 0.5000 0.5000  6 Br 2.80-2.81
Cd: 0.0000 0.0000 0.5000  6 Br 2.81
Br: 0.2565 0.5131 0.2702  3 Li 2.81-2.82, 3 Na 2.98
Br: 0.7435 0.4869 0.7298  3 Li 2.81-2.82, 3 Na 2.98
Br: 0.7568 0.5137 0.2720  2 Li 2.80, 1 Cd 2.81, 2 Na 2.99
Br: 0.2432 0.4863 0.7280  2 Li 2.80, 1 Cd 2.81, 2 Na 2.99
Br: 0.7565 0.0149 0.2718  2 Li 2.80-2.81, 1 Cd 2.81, 2 Na 2.99
Br: 0.2435 0.9851 0.7282  2 Li 2.80-2.81, 1 Cd 2.81, 2 Na 2.99
Br: 0.2584 0.0149 0.2718  2 Li 2.80-2.81, 1 Cd 2.81, 2 Na 2.99
Br: 0.7416 0.9851 0.7282  2 Li 2.80-2.81, 1 Cd 2.81, 2 Na 2.99

The calculation puts the raw formation energy at -1.3985 eV/atom. The uncorrected energy is -2.9983 eV per atom. Its spin magnetization is 0.00 μB/atom. The calculation puts the density of states at the Fermi level at 0.000 states/eV per atom. As for the symmetry: No. 166.


The following is a DFT calculation (PBE-GGA) of a relaxed NaLiCd2Br6 crystal.

Cell: 7.1344 7.1346 7.6357 Å, 62.12 62.11 59.98°
Last column: nearest neighbours and their distance in Å.
Atoms (fractional coordinates):
Na: 0.8146 0.8147 0.5562  6 Br 2.90-3.02
Li: 0.3237 0.3237 0.0290  6 Br 2.76-2.80
Cd: 0.5174 0.5174 0.4478  6 Br 2.76-2.93
Cd: 0.0114 0.0115 0.9656  6 Br 2.76-2.90
Br: 0.5988 0.2355 0.2469  2 Cd 2.76-2.90, 1 Li 2.80, 1 Na 3.02
Br: 0.2357 0.9186 0.2468  2 Cd 2.76-2.90, 1 Li 2.80, 1 Na 3.02
Br: 0.9187 0.5987 0.2471  2 Cd 2.76-2.90, 1 Li 2.80, 1 Na 3.02
Br: 0.3961 0.7224 0.7585  1 Li 2.76, 2 Cd 2.76-2.93, 1 Na 2.90
Br: 0.7224 0.1229 0.7586  1 Li 2.76, 2 Cd 2.76-2.93, 1 Na 2.90
Br: 0.1228 0.3962 0.7586  1 Li 2.76, 2 Cd 2.76-2.93, 1 Na 2.90

The calculation puts the raw formation energy at -1.0925 eV/atom. The uncorrected energy is -2.6025 eV per atom. Its spin magnetization is 0.00 μB/atom. The calculation puts the density of states at the Fermi level at 0.000 states/eV per atom. As for the symmetry: No. 146.